16
Lattice="6.525 0.000 0.000 0.000 9.342 0.000 0.000 0.000 4.591" Properties=species:S:1:pos:R:3 comment="PBE-GGA ZrCu, optimized geometry" formation_enthalpy_0k_ev_per_atom=-0.118 spacegroup="No. 63" crystal_system=orthorhombic pbc="T T T"
Zr 0.000 5.767 1.148
Zr 0.000 1.436 1.148
Zr 3.262 3.235 3.443
Zr 0.000 7.906 3.443
Zr 3.262 8.246 3.443
Zr 3.262 6.107 1.148
Zr 0.000 3.575 3.443
Zr 3.262 1.096 1.148
Cu 1.870 5.601 3.443
Cu 4.655 5.601 3.443
Cu 5.132 0.930 3.443
Cu 4.655 3.741 1.148
Cu 1.870 3.741 1.148
Cu 5.132 8.412 1.148
Cu 1.392 8.412 1.148
Cu 1.392 0.930 3.443